# 1
Na4MgSb3Se8 | PBE | relaxed

Lattice parameters (Å, degrees): 8.1439 8.1439 21.3174 90.00 90.00 120.00
Space group R-3m (No. 166, hexagonal axes)
Inequivalent atoms, fractional coordinates:
1 Na 0.0000 0.0000 0.0000 x3
2 Na 0.0000 0.5000 0.0000 x9
3 Mg 0.0000 0.0000 0.5000 x3
4 Sb 0.0000 0.5000 0.5000 x9
5 Se 0.0000 0.0000 0.2447 x6
6 Se 0.0090 0.5045 0.2413 x18

Electronic total energy = -3.679 eV/atom
Uncorrected formation energy = -0.734 eV per atom
Magnetization = 0.00 μB/f.u.
V = 25.51 Å³ per atom



# 2
Ba2SmReN4 | PBE | relaxed

Lattice parameters (Å, degrees): 6.102 12.172 21.368 90.00 90.00 90.00
Space group Fddd (No. 70, origin choice 2)
Inequivalent atoms, fractional coordinates:
1 Ba 0.125 0.125 0.312 x16
2 Sm 0.125 0.125 0.125 x8
3 Re 0.125 0.125 0.625 x8
4 N 0.067 0.284 0.832 x32

Electronic total energy = -7.124 eV/atom
Uncorrected formation energy = -0.335 eV per atom
Magnetization = 0.00 μB/f.u.
V = 24.80 Å³ per atom



# 3
Nd4Y3In4 | PBE | relaxed

Lattice parameters (Å, degrees): 3.644 9.484 19.485 90.00 90.00 90.00
Space group Immm (No. 71)
Inequivalent atoms, fractional coordinates:
1 Nd 0.000 0.175 0.162 x8
2 Y 0.000 0.000 0.407 x4
3 Y 0.000 0.500 0.500 x2
4 In 0.000 0.280 0.000 x4
5 In 0.000 0.500 0.224 x4

Electronic total energy = -4.825 eV/atom
Formation energy = -0.33 eV/atom
Magnetization = 0.00 μB/f.u.
V = 30.61 Å³ per atom



# 4
ZrNi3 | PBE | relaxed

Lattice parameters (Å, degrees): 4.783 4.783 4.783 90.00 90.00 90.00
Space group Pm-3n (No. 223)
Inequivalent atoms, fractional coordinates:
1 Zr 0.000 0.000 0.000 x2
2 Ni 0.000 0.250 0.500 x6

Electronic total energy = -6.750 eV/atom
Formation energy = -0.28 eV/atom
Magnetization = 0.00 μB/f.u.
V = 13.68 Å³ per atom



# 5
CaTaPb | PBE | relaxed

Lattice parameters (Å, degrees): 3.3140 3.3140 7.8565 90.00 90.00 120.00
Space group P3m1 (No. 156)
Inequivalent atoms, fractional coordinates:
1 Ca 0.0000 0.0000 0.0000 x1
2 Ta 0.3333 0.6667 0.6713 x1
3 Pb 0.6667 0.3333 0.3622 x1

Electronic total energy = -5.414 eV/atom
Formation energy = 0.44 eV/atom
Magnetization = 0.07 μB/f.u.
Offset from the most stable computed form = 79 meV per atom
V = 24.91 Å³ per atom



# 6
ZrIn2 | PBE | relaxed

Lattice parameters (Å, degrees): 3.275 3.275 13.099 90.00 90.00 90.00
Space group I4/mmm (No. 139)
Inequivalent atoms, fractional coordinates:
1 Zr 0.000 0.000 0.000 x2
2 In 0.000 0.000 0.340 x4

Electronic total energy = -4.766 eV/atom
Formation energy = -0.09 eV/atom
Magnetization = 0.00 μB/f.u.
V = 23.42 Å³ per atom



# 7
Tm8AsSe4S3 | PBE | relaxed

Lattice parameters (Å, degrees): 7.8840 7.8840 19.6325 90.00 90.00 120.00
Space group R-3m (No. 166, hexagonal axes)
Inequivalent atoms, fractional coordinates:
1 Tm 0.0000 0.0000 0.2404 x6
2 Tm 0.0075 0.5038 0.7578 x18
3 As 0.0000 0.0000 0.5000 x3
4 Se 0.0000 0.0000 0.0000 x3
5 Se 0.0000 0.5000 0.0000 x9
6 S 0.0000 0.5000 0.5000 x9

Electronic total energy = -5.941 eV/atom
Uncorrected formation energy = -1.769 eV per atom
Magnetization = 0.00 μB/f.u.
V = 22.02 Å³ per atom



# 8
TiV3Hg | PBE | relaxed

Lattice parameters (Å, degrees): 4.928 4.928 4.928 90.00 90.00 90.00
Space group Pm-3m (No. 221)
Inequivalent atoms, fractional coordinates:
1 Ti 0.000 0.000 0.000 x1
2 V 0.000 0.500 0.500 x3
3 Hg 0.500 0.500 0.500 x1

Electronic total energy = -5.302 eV/atom
Formation energy = 1.81 eV/atom
Magnetization = 9.44 μB/f.u.
Offset from the most stable computed form = 650 meV per atom
V = 23.93 Å³ per atom



# 9
PrTmZnIn | PBE | relaxed

Lattice parameters (Å, degrees): 7.470 7.470 7.470 90.00 90.00 90.00
Space group F-43m (No. 216)
Inequivalent atoms, fractional coordinates:
1 Pr 0.000 0.000 0.000 x4
2 Tm 0.000 0.000 0.500 x4
3 Zn 0.250 0.250 0.750 x4
4 In 0.250 0.250 0.250 x4

Electronic total energy = -3.686 eV/atom
Formation energy = -0.37 eV/atom
Magnetization = 0.00 μB/f.u.
Offset from the most stable computed form = 33 meV per atom
V = 26.05 Å³ per atom



# 10
AcNdLuSc | PBE | relaxed

Lattice parameters (Å, degrees): 8.094 8.094 8.094 90.00 90.00 90.00
Space group F-43m (No. 216)
Inequivalent atoms, fractional coordinates:
1 Ac 0.000 0.000 0.000 x4
2 Nd 0.000 0.000 0.500 x4
3 Lu 0.250 0.250 0.250 x4
4 Sc 0.250 0.250 0.750 x4

Electronic total energy = -4.834 eV/atom
Formation energy = 0.10 eV/atom
Magnetization = 0.00 μB/f.u.
V = 33.14 Å³ per atom